Here is an optimized crystal structure of Ta4HgI7 from the Alexandria database. Energies are from PBE-GGA.

Properties
Energy   -4.892 eV/atom
Formation energy from raw total energies   -0.135 eV per formula unit
Calculated volume   881 Å³/cell

a b c (Å): 3.6740 24.0612 9.9739
angles (deg): 90.00 92.74 90.00
With the nearest neighbours (Å) after each atom.
Space group P2_1/m (No. 11)
Inequivalent atoms, fractional coordinates:
1 Ta 0.2422 0.0431 0.4396 (multiplicity 4)  4 I 2.79-2.88, 4 Ta 2.85-3.02
2 Ta 0.2564 0.6336 0.5542 (multiplicity 4)  4 I 2.65-2.94, 2 Ta 2.85
3 Hg 0.3125 0.2500 0.9853 (multiplicity 2)  2 Hg 3.67, 7 I 3.93-3.96
4 I 0.2151 0.1212 0.2236 (multiplicity 4)  3 Ta 2.86-2.89
5 I 0.2256 0.6666 0.3005 (multiplicity 4)  1 Ta 2.65
6 I 0.2544 0.7500 0.6431 (multiplicity 2)  2 Ta 2.94
7 I 0.2776 0.0230 0.7160 (multiplicity 4)  3 Ta 2.79-2.88

---

Here is an optimized crystal structure of TaHgI2 from the Alexandria database. Energies are from PBE-GGA.

Properties
Energy   -3.020 eV/atom
Formation energy from raw total energies   3.174 eV per formula unit
Calculated volume   395 Å³/cell
Excess energy over the best structure of this formula in the dataset   49.9 kJ/mol of atoms

a b c (Å): 7.3393 7.3393 7.3393
angles (deg): 90.00 90.00 90.00
With the nearest neighbours (Å) after each atom.
Space group Fm-3m (No. 225)
Inequivalent atoms, fractional coordinates:
1 Ta 0.0000 0.0000 0.0000 (multiplicity 4)  8 I 3.18
2 Hg 0.0000 0.0000 0.5000 (multiplicity 4)  8 I 3.18
3 I 0.2500 0.2500 0.2500 (multiplicity 8)  4 Hg 3.18, 4 Ta 3.18

---

Here is an optimized crystal structure of TaHgI3 from the Alexandria database. Energies are from PBE-GGA.

Properties
Energy   -3.276 eV/atom
Formation energy from raw total energies   0.426 eV per formula unit
Calculated volume   175 Å³/cell
Excess energy over the best structure of this formula in the dataset   0.0 kJ/mol of atoms

a b c (Å): 5.5941 5.5941 5.5941
angles (deg): 90.00 90.00 90.00
With the nearest neighbours (Å) after each atom.
Space group Pm-3m (No. 221)
Inequivalent atoms, fractional coordinates:
1 Ta 0.0000 0.0000 0.0000 (multiplicity 1)  6 I 2.80
2 Hg 0.5000 0.5000 0.5000 (multiplicity 1)  12 I 3.96
3 I 0.0000 0.0000 0.5000 (multiplicity 3)  2 Ta 2.80

---

Here is an optimized crystal structure of TaHgI4 from the Alexandria database. Energies are from PBE-GGA.

Properties
Energy   -3.336 eV/atom
Formation energy from raw total energies   -1.664 eV per formula unit
Calculated volume   1103 Å³/cell

a b c (Å): 10.8742 15.9184 6.9003
angles (deg): 90.00 112.51 90.00
With the nearest neighbours (Å) after each atom.
Space group C2/c (No. 15)
Inequivalent atoms, fractional coordinates:
1 Ta 0.0000 0.0681 0.2500 (multiplicity 4)  6 I 2.70-2.88
2 Hg 0.0000 0.4596 0.7500 (multiplicity 4)  2 Hg 3.68, 2 I 3.95
3 I 0.1587 0.0657 0.6860 (multiplicity 8)  2 Ta 2.84-2.88
4 I 0.1701 0.1812 0.1992 (multiplicity 8)  1 Ta 2.70

---

Here is an optimized crystal structure of Ta2HgI8 from the Alexandria database. Energies are from PBE-GGA.

Properties
Energy   -3.524 eV/atom
Formation energy from raw total energies   -2.356 eV per formula unit
Calculated volume   609 Å³/cell

a b c (Å): 11.1967 11.1967 5.6067
angles (deg): 90.00 90.00 120.00
With the nearest neighbours (Å) after each atom.
Space group P-3 (No. 147)
Inequivalent atoms, fractional coordinates:
1 Ta 0.3333 0.6667 0.2573 (multiplicity 2)  5 I 2.67-2.80
2 Hg 0.0000 0.0000 0.0000 (multiplicity 1)  6 I 4.06
3 I 0.1950 0.3918 0.2577 (multiplicity 6)  1 Ta 2.67
4 I 0.3333 0.6667 0.7574 (multiplicity 2)  2 Ta 2.80

---

Here is an optimized crystal structure of Ta3Hg2I9 from the Alexandria database. Energies are from PBE-GGA.

Properties
Energy   -3.934 eV/atom
Formation energy from raw total energies   -4.957 eV per formula unit
Calculated volume   2393 Å³/cell

a b c (Å): 12.8856 18.4340 11.6563
angles (deg): 90.00 120.22 90.00
With the nearest neighbours (Å) after each atom.
Space group C2/m (No. 12)
Inequivalent atoms, fractional coordinates:
1 Ta 0.0896 0.0000 0.4180 (multiplicity 4)  4 I 2.83, 4 Ta 2.85
2 Ta 0.1167 0.0838 0.6374 (multiplicity 8)  5 I 2.81-3.10, 4 Ta 2.85-3.10
3 Hg 0.1938 0.3458 0.7974 (multiplicity 8)  2 I 2.85-2.94
4 I 0.0000 0.2121 0.5000 (multiplicity 4)  2 Ta 2.83
5 I 0.0056 0.1021 0.7922 (multiplicity 8)  2 Ta 2.83
6 I 0.1704 0.5000 0.7809 (multiplicity 4)  2 Hg 2.85
7 I 0.2051 0.5000 0.1557 (multiplicity 4)  2 Ta 2.81
8 I 0.2106 0.3029 0.1586 (multiplicity 8)  1 Hg 2.94, 1 Ta 3.10
9 I 0.2219 0.3976 0.4579 (multiplicity 8)  2 Ta 2.83

---

Here is an optimized crystal structure of TaHgI3 from the Alexandria database. Energies are from PBE-GGA.

Properties
Energy   -2.180 eV/atom
Formation energy from raw total energies   5.906 eV per formula unit
Calculated volume   200 Å³/cell
Excess energy over the best structure of this formula in the dataset   105.8 kJ/mol of atoms

a b c (Å): 5.8499 5.8499 5.8499
angles (deg): 90.00 90.00 90.00
With the nearest neighbours (Å) after each atom.
Space group Pm-3m (No. 221)
Inequivalent atoms, fractional coordinates:
1 Ta 0.0000 0.0000 0.0000 (multiplicity 1)  12 I 4.14
2 Hg 0.5000 0.5000 0.5000 (multiplicity 1)  6 I 2.92
3 I 0.0000 0.5000 0.5000 (multiplicity 3)  2 Hg 2.92

---

Here is an optimized crystal structure of TaHg2I6 from the Alexandria database. Energies are from PBE-GGA.

Properties
Energy   -2.721 eV/atom
Formation energy from raw total energies   -2.736 eV per formula unit
Calculated volume   1257 Å³/cell

a b c (Å): 8.3357 8.3357 20.8923
angles (deg): 90.00 90.00 120.00
With the nearest neighbours (Å) after each atom.
Space group R3 (No. 146, hexagonal axes)
Inequivalent atoms, fractional coordinates:
1 Ta 0.0000 0.0000 0.0000 (multiplicity 3)  6 I 2.69-2.87
2 Hg 0.0000 0.0000 0.6582 (multiplicity 3)  1 Hg 2.82, 3 I 3.12
3 Hg 0.0000 0.0000 0.7932 (multiplicity 3)  1 Hg 2.82
4 I 0.0190 0.5542 0.7339 (multiplicity 9)  1 Ta 2.69
5 I 0.1346 0.3636 0.5799 (multiplicity 9)  1 Ta 2.87, 1 Hg 3.12

---

Q: The highest energy belongs to which entry?
A: number 7